VASP calculation (PBEsol) on a relaxed structure of Hf2AlTl2.

```
Hf2AlTl2
1.0
4.045 0.000 0.000
0.000 4.045 0.000
-2.022 -2.022 7.186
Tl Hf Al
2 2 1
Cartesian
0.000 2.022 3.593
2.022 0.000 3.593
0.000 0.000 5.865
2.022 2.022 1.321
0.000 0.000 0.000
```

## Properties
magnetic moment = 0.0 μB/f.u.
crystal system = tetragonal
ΔH_f (0 K) = 0.5129 eV/atom